[1]
# MnAg3I2F6, optimized geometry, DFT PBE+U
# N(E_F) = 0.617 states/eV/atom
data_MnAg3I2F6
_symmetry_space_group_name_H-M 'C 1 2/m 1'
_symmetry_Int_Tables_number 12
_cell_length_a 13.062
_cell_length_b 6.543
_cell_length_c 5.458
_cell_angle_alpha 90.00
_cell_angle_beta 90.07
_cell_angle_gamma 90.00
loop_
_symmetry_equiv_pos_as_xyz
'x,y,z'
'-x,-y,-z'
'-x,y,-z'
'x,-y,z'
'x+1/2,y+1/2,z'
'-x+1/2,-y+1/2,-z'
'-x+1/2,y+1/2,-z'
'x+1/2,-y+1/2,z'
loop_
_atom_site_label
_atom_site_type_symbol
_atom_site_fract_x
_atom_site_fract_y
_atom_site_fract_z
Mn1 Mn 0.000 0.000 0.000
Ag1 Ag 0.000 0.500 0.500
Ag2 Ag 0.250 0.250 0.000
I1 I 0.204 0.500 0.392
F1 F 0.060 0.204 0.810
F2 F 0.118 0.000 0.192

***

[2]
# MnAgI2F, optimized geometry, DFT PBE+U
# N(E_F) = 0.192 states/eV/atom
data_MnAgI2F
_symmetry_space_group_name_H-M 'P 4/m m m'
_symmetry_Int_Tables_number 123
_symmetry_space_group_name_Hall '-P 4 2'
_cell_length_a 5.825
_cell_length_b 5.825
_cell_length_c 4.038
_cell_angle_alpha 90.00
_cell_angle_beta 90.00
_cell_angle_gamma 90.00
loop_
_atom_site_label
_atom_site_type_symbol
_atom_site_fract_x
_atom_site_fract_y
_atom_site_fract_z
Mn1 Mn 0.000 0.000 0.000
Ag1 Ag 0.500 0.500 0.500
I1 I 0.000 0.500 0.000
F1 F 0.000 0.000 0.500

***

[3]
Density functional theory data (PBE+U) for a relaxed structure of Ag3MoI2F6.

The structure in CIF format:
```
data_Ag3MoI2F6
_symmetry_space_group_name_H-M 'C 1 2/m 1'
_symmetry_Int_Tables_number 12
_cell_length_a 14.474
_cell_length_b 7.605
_cell_length_c 5.041
_cell_angle_alpha 90.00
_cell_angle_beta 97.09
_cell_angle_gamma 90.00
loop_
_symmetry_equiv_pos_as_xyz
'x,y,z'
'-x,-y,-z'
'-x,y,-z'
'x,-y,z'
'x+1/2,y+1/2,z'
'-x+1/2,-y+1/2,-z'
'-x+1/2,y+1/2,-z'
'x+1/2,-y+1/2,z'
loop_
_atom_site_label
_atom_site_type_symbol
_atom_site_fract_x
_atom_site_fract_y
_atom_site_fract_z
Ag1 Ag 0.000 0.000 0.000
Ag2 Ag 0.250 0.250 0.500
Mo1 Mo 0.000 0.500 0.500
I1 I 0.188 0.000 0.136
F1 F 0.056 0.316 0.725
F2 F 0.111 0.500 0.314
```

***

Number 1: uncorrected energy -45.96 eV/f.u.. Number 2: uncorrected energy -19.47 eV/f.u.. Number 3: uncorrected energy -47.81 eV/f.u..